VASP calculation (PBE-GGA) on a geometry-optimized SrPHRh structure.

Values from the calculation:
crystal system: tetragonal
E: -42.3 eV for the cell shown
space-group type: No. 129
volume: 137 Å³ per cell
density of states at the Fermi level: 4.77 states/eV per cell

Cell lengths 4.0121, 4.0121, 8.5097 Å; angles 90.00, 90.00, 90.00 degrees
Closest atoms and distances in Å follow each position.
Fractional positions:
Sr 0.2500 0.2500 0.1615  4 H 2.43
Sr 0.7500 0.7500 0.8385  4 H 2.43
P 0.2500 0.2500 0.6504  4 Rh 2.38
P 0.7500 0.7500 0.3496  4 Rh 2.38
H 0.2500 0.7500 0.0000  4 Sr 2.43
H 0.7500 0.2500 0.0000  4 Sr 2.43
Rh 0.2500 0.7500 0.5000  4 P 2.38
Rh 0.7500 0.2500 0.5000  4 P 2.38

VASP calculation (PBE-GGA) on a geometry-optimized TbPHRh2 structure.

Values from the calculation:
crystal system: orthorhombic
E: -65.3 eV for the cell shown
space-group type: No. 63
volume: 140 Å³ per cell
density of states at the Fermi level: 3.49 states/eV per cell

Cell lengths 5.5843, 5.5843, 7.0638 Å; angles 90.00, 90.00, 140.42 degrees
Closest atoms and distances in Å follow each position.
Fractional positions:
Tb 0.0555 0.9445 0.7500  4 H 2.65, 1 P 2.95
Tb 0.9445 0.0555 0.2500  4 H 2.65, 1 P 2.95
P 0.2248 0.7752 0.2500  6 Rh 2.43-2.46
P 0.7752 0.2248 0.7500  6 Rh 2.43-2.46
H 0.5000 0.5000 0.0000  2 Rh 1.74
H 0.5000 0.5000 0.5000  2 Rh 1.74
Rh 0.3386 0.6614 0.5548  1 H 1.74
Rh 0.3386 0.6614 0.9452  1 H 1.74
Rh 0.6614 0.3386 0.0548  1 H 1.74
Rh 0.6614 0.3386 0.4452  1 H 1.74

VASP calculation (PBE-GGA) on a geometry-optimized ThPHRh structure.

Values from the calculation:
crystal system: trigonal
E: -27.9 eV for the cell shown
space-group type: No. 156
volume: 61 Å³ per cell
density of states at the Fermi level: 0.64 states/eV per cell

Cell lengths 4.2653, 4.2653, 3.8715 Å; angles 90.00, 90.00, 120.00 degrees
Closest atoms and distances in Å follow each position.
Fractional positions:
Th 0.0000 0.0000 0.0000  3 H 2.46
P 0.3333 0.6667 0.5166  3 Rh 2.47
H 0.6667 0.3333 0.9959  2 Rh 1.89-1.98
Rh 0.6667 0.3333 0.4838  2 H 1.89-1.98

VASP calculation (PBE-GGA) on a geometry-optimized Th2PHRh6 structure.

Values from the calculation:
crystal system: tetragonal
E: -75.4 eV for the cell shown
space-group type: No. 123
volume: 163 Å³ per cell
density of states at the Fermi level: 1.27 states/eV per cell

Cell lengths 4.4165, 4.4165, 8.3615 Å; angles 90.00, 90.00, 90.00 degrees
Closest atoms and distances in Å follow each position.
Fractional positions:
Th 0.0000 0.0000 0.2328  12 Rh 2.94-3.14
Th 0.0000 0.0000 0.7672  12 Rh 2.94-3.14
P 0.5000 0.5000 0.5000  6 Rh 2.21-2.25
H 0.5000 0.5000 0.0000  2 Rh 1.93
Rh 0.0000 0.5000 0.0000  2 H 2.21
Rh 0.0000 0.5000 0.5000  2 P 2.21
Rh 0.5000 0.0000 0.0000  2 H 2.21
Rh 0.5000 0.0000 0.5000  2 P 2.21
Rh 0.5000 0.5000 0.2314  1 H 1.93
Rh 0.5000 0.5000 0.7686  1 H 1.93

VASP calculation (PBE-GGA) on a geometry-optimized Th3P2HRh9 structure.

Values from the calculation:
crystal system: trigonal
E: -115.3 eV for the cell shown
space-group type: No. 164
volume: 250 Å³ per cell
density of states at the Fermi level: 7.80 states/eV per cell

Cell lengths 6.4179, 6.4179, 7.0101 Å; angles 90.00, 90.00, 120.00 degrees
Closest atoms and distances in Å follow each position.
Fractional positions:
Th 0.0000 0.0000 0.0000  6 Rh 2.86
Th 0.3333 0.6667 0.6597  12 Rh 3.02-3.22, 1 P 3.15
Th 0.6667 0.3333 0.3403  12 Rh 3.02-3.22, 1 P 3.15
P 0.3333 0.6667 0.2104  6 Rh 2.24-2.37
P 0.6667 0.3333 0.7896  6 Rh 2.24-2.37
H 0.0000 0.0000 0.5000  6 Rh 2.01
Rh 0.0000 0.5000 0.0000  2 P 2.37
Rh 0.1477 0.2954 0.3340  1 H 2.01, 1 P 2.24
Rh 0.1477 0.8523 0.3340  1 H 2.01, 1 P 2.24
Rh 0.2954 0.1477 0.6660  1 H 2.01, 1 P 2.24
Rh 0.5000 0.0000 0.0000  2 P 2.37
Rh 0.5000 0.5000 0.0000  2 P 2.37
Rh 0.7046 0.8523 0.3340  1 H 2.01, 1 P 2.24
Rh 0.8523 0.1477 0.6660  1 H 2.01, 1 P 2.24
Rh 0.8523 0.7046 0.6660  1 H 2.01, 1 P 2.24

VASP calculation (PBE-GGA) on a geometry-optimized YPHRh2 structure.

Values from the calculation:
crystal system: orthorhombic
E: -69.0 eV for the cell shown
space-group type: No. 63
volume: 140 Å³ per cell
density of states at the Fermi level: 3.15 states/eV per cell

Cell lengths 5.5760, 5.5760, 7.0678 Å; angles 90.00, 90.00, 140.44 degrees
Closest atoms and distances in Å follow each position.
Fractional positions:
Y 0.0546 0.9454 0.7500  4 H 2.65, 1 P 2.94
Y 0.9454 0.0546 0.2500  4 H 2.65, 1 P 2.94
P 0.2253 0.7747 0.2500  6 Rh 2.43-2.46
P 0.7747 0.2253 0.7500  6 Rh 2.43-2.46
H 0.5000 0.5000 0.0000  2 Rh 1.74
H 0.5000 0.5000 0.5000  2 Rh 1.74
Rh 0.3388 0.6612 0.5549  1 H 1.74
Rh 0.3388 0.6612 0.9451  1 H 1.74
Rh 0.6612 0.3388 0.0549  1 H 1.74
Rh 0.6612 0.3388 0.4451  1 H 1.74

VASP calculation (PBE-GGA) on a geometry-optimized YPHRh structure.

Values from the calculation:
crystal system: tetragonal
E: -53.1 eV for the cell shown
space-group type: No. 129
volume: 112 Å³ per cell
density of states at the Fermi level: 3.51 states/eV per cell

Cell lengths 3.9222, 3.9222, 7.2836 Å; angles 90.00, 90.00, 90.00 degrees
Closest atoms and distances in Å follow each position.
Fractional positions:
Y 0.2500 0.2500 0.1591  4 H 2.28
Y 0.7500 0.7500 0.8409  4 H 2.28
P 0.2500 0.2500 0.6936  4 Rh 2.42
P 0.7500 0.7500 0.3064  4 Rh 2.42
H 0.2500 0.7500 0.0000  4 Y 2.28
H 0.7500 0.2500 0.0000  4 Y 2.28
Rh 0.2500 0.7500 0.5000  4 P 2.42
Rh 0.7500 0.2500 0.5000  4 P 2.42

VASP calculation (PBE-GGA) on a geometry-optimized PHRu3 structure.

Values from the calculation:
crystal system: cubic
E: -35.6 eV for the cell shown
space-group type: No. 221
volume: 57 Å³ per cell
density of states at the Fermi level: 6.53 states/eV per cell

Cell lengths 3.8449, 3.8449, 3.8449 Å; angles 90.00, 90.00, 90.00 degrees
Closest atoms and distances in Å follow each position.
Fractional positions:
P 0.0000 0.0000 0.0000  12 Ru 2.72
H 0.5000 0.5000 0.5000  6 Ru 1.92
Ru 0.0000 0.5000 0.5000  2 H 1.92
Ru 0.5000 0.0000 0.5000  2 H 1.92
Ru 0.5000 0.5000 0.0000  2 H 1.92

VASP calculation (PBE-GGA) on a geometry-optimized PHRu structure.

Values from the calculation:
crystal system: monoclinic
E: -18.5 eV for the cell shown
space-group type: No. 8
volume: 33 Å³ per cell
density of states at the Fermi level: 0.69 states/eV per cell

Cell lengths 3.1249, 3.1249, 4.3126 Å; angles 111.31, 111.31, 60.09 degrees
Closest atoms and distances in Å follow each position.
Fractional positions:
P 0.0000 0.0000 0.0000  4 Ru 2.35-2.40, 3 H 2.61
H 0.5061 0.5061 0.5178  3 Ru 1.88
Ru 0.7954 0.7954 0.3861  3 H 1.88

VASP calculation (PBE-GGA) on a geometry-optimized P2HRu structure.

Values from the calculation:
crystal system: cubic
E: -22.1 eV for the cell shown
space-group type: No. 225
volume: 46 Å³ per cell
density of states at the Fermi level: 1.78 states/eV per cell

Cell lengths 4.0193, 4.0193, 4.0193 Å; angles 60.00, 60.00, 60.00 degrees
Closest atoms and distances in Å follow each position.
Fractional positions:
P 0.2500 0.2500 0.2500  4 H 2.46, 4 Ru 2.46
P 0.7500 0.7500 0.7500  4 H 2.46, 4 Ru 2.46
H 0.0000 0.0000 0.0000  8 P 2.46
Ru 0.5000 0.5000 0.5000  8 P 2.46

VASP calculation (PBE-GGA) on a geometry-optimized PHRu structure.

Values from the calculation:
crystal system: orthorhombic
E: -18.5 eV for the cell shown
space-group type: No. 44
volume: 33 Å³ per cell
density of states at the Fermi level: 0.94 states/eV per cell

Cell lengths 4.2319, 4.2319, 4.2319 Å; angles 138.44, 138.21, 60.40 degrees
Closest atoms and distances in Å follow each position.
Fractional positions:
P 0.0000 0.0000 0.0000  4 H 2.33, 4 Ru 2.34-2.39
H 0.6312 0.6312 0.0000  2 Ru 1.73
Ru 0.2459 0.7459 0.5000  2 H 1.73

VASP calculation (PBE-GGA) on a geometry-optimized P2H2Ru structure.

Values from the calculation:
crystal system: tetragonal
E: -26.1 eV for the cell shown
space-group type: No. 139
volume: 49 Å³ per cell
density of states at the Fermi level: 1.39 states/eV per cell

Cell lengths 4.0770, 4.0770, 4.0770 Å; angles 119.07, 119.07, 91.62 degrees
Closest atoms and distances in Å follow each position.
Fractional positions:
P 0.2500 0.7500 0.5000  4 H 2.31, 4 Ru 2.51
P 0.7500 0.2500 0.5000  4 H 2.31, 4 Ru 2.51
H 0.0683 0.0683 0.0000  1 H 0.78
H 0.9317 0.9317 0.0000  1 H 0.78
Ru 0.5000 0.5000 0.0000  2 H 2.45, 8 P 2.51

VASP calculation (PBE-GGA) on a geometry-optimized P2HRu structure.

Values from the calculation:
crystal system: tetragonal
E: -44.4 eV for the cell shown
space-group type: No. 122
volume: 102 Å³ per cell
density of states at the Fermi level: 2.13 states/eV per cell

Cell lengths 5.2519, 5.2519, 5.2519 Å; angles 120.37, 120.37, 89.37 degrees
Closest atoms and distances in Å follow each position.
Fractional positions:
P 0.0616 0.6250 0.9366  2 H 1.88
P 0.3750 0.3116 0.4366  2 H 1.88
P 0.6884 0.1250 0.0634  2 H 1.88
P 0.8750 0.9384 0.5634  2 H 1.88
H 0.0000 0.0000 0.0000  4 P 1.88
H 0.7500 0.2500 0.5000  4 P 1.88
Ru 0.2500 0.7500 0.5000  4 P 2.29
Ru 0.5000 0.5000 0.0000  4 P 2.29

VASP calculation (PBE-GGA) on a geometry-optimized P2H2Ru structure.

Values from the calculation:
crystal system: tetragonal
E: -48.1 eV for the cell shown
space-group type: No. 127
volume: 93 Å³ per cell
density of states at the Fermi level: 3.22 states/eV per cell

Cell lengths 5.6573, 5.6573, 2.9137 Å; angles 90.00, 90.00, 90.00 degrees
Closest atoms and distances in Å follow each position.
Fractional positions:
P 0.1420 0.3580 0.0000  4 H 2.08, 1 P 2.27
P 0.3580 0.8580 0.0000  4 H 2.08, 1 P 2.27
P 0.6420 0.1420 0.0000  4 H 2.08, 1 P 2.27
P 0.8580 0.6420 0.0000  4 H 2.08, 1 P 2.27
H 0.1206 0.6206 0.5000  1 H 1.93, 4 P 2.08
H 0.3794 0.1206 0.5000  1 H 1.93, 4 P 2.08
H 0.6206 0.8794 0.5000  1 H 1.93, 4 P 2.08
H 0.8794 0.3794 0.5000  1 H 1.93, 4 P 2.08
Ru 0.0000 0.0000 0.5000  4 H 2.25
Ru 0.5000 0.5000 0.5000  4 H 2.25

VASP calculation (PBE-GGA) on a geometry-optimized PHRu structure.

Values from the calculation:
crystal system: monoclinic
E: -18.4 eV for the cell shown
space-group type: No. 8
volume: 32 Å³ per cell
density of states at the Fermi level: 0.40 states/eV per cell

Cell lengths 4.3374, 4.3374, 2.9185 Å; angles 109.38, 109.38, 39.20 degrees
Closest atoms and distances in Å follow each position.
Fractional positions:
P 0.0000 0.0000 0.0000  2 H 2.14
H 0.2953 0.2953 0.7673  2 Ru 1.76
Ru 0.6660 0.6660 0.6614  2 H 1.76

VASP calculation (PBE-GGA) on a geometry-optimized PHRu structure.

Values from the calculation:
crystal system: tetragonal
E: -18.3 eV for the cell shown
space-group type: No. 107
volume: 33 Å³ per cell
density of states at the Fermi level: 0.42 states/eV per cell

Cell lengths 4.1727, 4.1727, 4.1727 Å; angles 137.53, 137.53, 61.62 degrees
Closest atoms and distances in Å follow each position.
Fractional positions:
P 0.0000 0.0000 0.0000  4 H 2.21, 4 Ru 2.39
H 0.4243 0.4243 0.0000  1 Ru 1.62
Ru 0.6504 0.6504 0.0000  1 H 1.62

VASP calculation (PBE-GGA) on a geometry-optimized PHRu2 structure.

Values from the calculation:
crystal system: tetragonal
E: -53.8 eV for the cell shown
space-group type: No. 122
volume: 101 Å³ per cell
density of states at the Fermi level: 9.51 states/eV per cell

Cell lengths 5.7720, 5.7720, 5.7720 Å; angles 133.16, 133.16, 68.40 degrees
Closest atoms and distances in Å follow each position.
Fractional positions:
P 0.0000 0.0000 0.0000  4 Ru 2.25
P 0.7500 0.2500 0.5000  4 Ru 2.25
H 0.2500 0.7500 0.5000  4 Ru 1.82
H 0.5000 0.5000 0.0000  4 Ru 1.82
Ru 0.2078 0.6250 0.0828  2 H 1.82
Ru 0.3750 0.4578 0.5828  2 H 1.82
Ru 0.5422 0.1250 0.9172  2 H 1.82
Ru 0.8750 0.7922 0.4172  2 H 1.82

VASP calculation (PBE-GGA) on a geometry-optimized PHRu structure.

Values from the calculation:
crystal system: tetragonal
E: -18.3 eV for the cell shown
space-group type: No. 107
volume: 38 Å³ per cell
density of states at the Fermi level: 0.50 states/eV per cell

Cell lengths 4.8466, 4.8466, 4.8466 Å; angles 144.46, 144.46, 51.14 degrees
Closest atoms and distances in Å follow each position.
Fractional positions:
P 0.0000 0.0000 0.0000  1 H 1.51
H 0.8268 0.8268 0.0000  1 P 1.51
Ru 0.6123 0.6123 0.0000  1 H 1.88

VASP calculation (PBE-GGA) on a geometry-optimized PHRu structure.

Values from the calculation:
crystal system: monoclinic
E: -73.4 eV for the cell shown
space-group type: No. 14
volume: 159 Å³ per cell
density of states at the Fermi level: 3.98 states/eV per cell

Cell lengths 5.5935, 5.0377, 5.7784 Å; angles 90.00, 103.18, 90.00 degrees
Closest atoms and distances in Å follow each position.
Fractional positions:
P 0.1972 0.0179 0.0647  1 P 2.17, 3 Ru 2.29-2.34
P 0.1972 0.4821 0.5647  1 P 2.17, 3 Ru 2.29-2.34
P 0.8028 0.5179 0.4353  1 P 2.17, 3 Ru 2.29-2.34
P 0.8028 0.9821 0.9353  1 P 2.17, 3 Ru 2.29-2.34
H 0.3488 0.0260 0.5997  3 Ru 1.82-1.99
H 0.3488 0.4740 0.0997  3 Ru 1.82-1.99
H 0.6512 0.5260 0.9003  3 Ru 1.82-1.99
H 0.6512 0.9740 0.4003  3 Ru 1.82-1.99
Ru 0.4439 0.2361 0.8610  3 H 1.82-1.99
Ru 0.4439 0.2639 0.3610  3 H 1.82-1.99
Ru 0.5561 0.7361 0.6390  3 H 1.82-1.99
Ru 0.5561 0.7639 0.1390  3 H 1.82-1.99

VASP calculation (PBE-GGA) on a geometry-optimized PHRu2 structure.

Values from the calculation:
crystal system: cubic
E: -27.1 eV for the cell shown
space-group type: No. 225
volume: 44 Å³ per cell
density of states at the Fermi level: 3.17 states/eV per cell

Cell lengths 3.9529, 3.9529, 3.9529 Å; angles 60.00, 60.00, 60.00 degrees
Closest atoms and distances in Å follow each position.
Fractional positions:
P 0.0000 0.0000 0.0000  8 Ru 2.42
H 0.5000 0.5000 0.5000  8 Ru 2.42
Ru 0.2500 0.2500 0.2500  4 H 2.42, 4 P 2.42
Ru 0.7500 0.7500 0.7500  4 P 2.42, 4 H 2.42